First-principles (PBE) data for a relaxed structure of ReSiW2, as listed in the Alexandria database.

Summary:
Raw formation energy in eV per atom: 0.147
SG: Cmmm, No. 65
Final energy in eV/atom: -10.80

```
4
Lattice="2.758 -0.003 0.000 -0.887 2.611 0.000 0.000 0.000 8.380" Properties=species:S:1:pos:R:3 pbc="T T T"
Si 0.935 1.304 6.285
Re 0.935 1.304 2.095
W 0.000 0.000 4.283
W 0.000 0.000 8.287
```

First-principles (PBE) data for a relaxed structure of Pu3TcSb, as listed in the Alexandria database.

Summary:
Raw formation energy in eV per atom: -0.133
SG: P2_1/m, No. 11
Final energy in eV/atom: -11.63

```
10
Lattice="-3.430 -3.185 -0.982 4.800 -5.448 0.908 -0.997 -0.783 6.020" Properties=species:S:1:pos:R:3 pbc="T T T"
Pu 1.674 -7.157 6.285
Pu -0.846 -3.885 4.472
Pu -3.967 -3.668 3.023
Pu -1.659 -5.935 2.319
Pu -1.447 -6.940 4.836
Pu 0.363 -4.106 0.970
Tc 0.184 -7.557 1.141
Tc -1.480 -2.484 2.147
Sb -2.666 -4.121 -0.048
Sb 1.370 -5.920 3.336
```

First-principles (PBE) data for a relaxed structure of TaReBr, as listed in the Alexandria database.

Summary:
Raw formation energy in eV per atom: 1.010
SG: F-43m, No. 216
Final energy in eV/atom: -7.65

```
3
Lattice="4.401 0.000 0.000 2.201 3.812 0.000 2.201 1.271 3.594" Properties=species:S:1:pos:R:3 pbc="T T T"
Re 6.602 3.812 2.695
Ta 0.000 0.000 0.000
Br 4.401 2.541 1.797
```

First-principles (PBE) data for a relaxed structure of Pm6Ge2AsSe3, as listed in the Alexandria database.

Summary:
Raw formation energy in eV per atom: -1.533
SG: C2/m, No. 12
Final energy in eV/atom: -5.94

```
12
Lattice="-1.751 1.214 -3.666 7.083 -2.247 -4.126 -4.212 -8.330 1.705" Properties=species:S:1:pos:R:3 pbc="T T T"
Pm -0.379 -6.065 -1.827
Pm -1.911 -2.146 -2.250
Pm 1.705 -0.604 -1.014
Pm -0.585 -8.759 -5.073
Pm 1.500 -3.298 -4.260
Pm 3.031 -7.217 -3.837
Se -3.100 -4.928 -2.603
Se 4.221 -4.435 -3.484
Se 2.666 -0.516 -3.896
Ge 0.456 -6.046 -4.671
Ge 0.665 -3.317 -1.416
As -0.875 0.607 -1.833
```

First-principles (PBE) data for a relaxed structure of LaTmAlHg, as listed in the Alexandria database.

Summary:
SG: F-43m, No. 216
Final energy in eV/atom: -3.75
E_form in eV per atom: -0.38

```
4
Lattice="5.324 0.000 0.000 2.662 4.611 0.000 2.662 1.537 4.347" Properties=species:S:1:pos:R:3 pbc="T T T"
Tm 7.987 4.611 3.260
La 2.662 1.537 1.087
Al 5.324 3.074 2.174
Hg 0.000 0.000 0.000
```

First-principles (PBE) data for a relaxed structure of SrOsSe4, as listed in the Alexandria database.

Summary:
Raw formation energy in eV per atom: 0.679
SG: F-43m, No. 216
Final energy in eV/atom: -3.80

```
6
Lattice="0.000 4.102 4.102 4.102 0.000 4.102 4.102 4.102 0.000" Properties=species:S:1:pos:R:3 pbc="T T T"
Os 0.000 0.000 0.000
Se 5.141 5.141 3.062
Se 3.062 3.062 3.062
Se 5.141 3.062 5.141
Se 3.062 5.141 5.141
Sr 6.153 6.153 6.153
```

First-principles (PBE) data for a relaxed structure of Cs2CdNi, as listed in the Alexandria database.

Summary:
SG: I-42d, No. 122
Final energy in eV/atom: -1.79
E_form in eV per atom: 0.31

```
8
Lattice="-6.431 6.431 2.529 6.431 -6.431 2.529 6.431 6.431 -2.529" Properties=species:S:1:pos:R:3 pbc="T T T"
Ni 0.000 6.431 1.265
Ni 0.000 0.000 2.529
Cd 6.431 0.000 1.265
Cd 0.000 0.000 0.000
Cs 5.499 3.215 -0.632
Cs 3.215 -0.932 3.161
Cs 0.932 3.215 1.897
Cs 3.215 7.363 0.632
```

First-principles (PBE) data for a relaxed structure of MgMnOs2, as listed in the Alexandria database.

Summary:
SG: Pmm2, No. 25
Final energy in eV/atom: -8.09
E_form in eV per atom: 0.21

```
4
Lattice="-1.551 2.033 -2.928 -2.350 0.309 1.460 -0.388 4.933 3.632" Properties=species:S:1:pos:R:3 pbc="T T T"
Mg -1.355 2.653 2.561
Os -1.506 2.218 -0.242
Os -2.327 0.362 1.485
Mn -2.819 4.971 2.366
```

First-principles (PBE) data for a relaxed structure of Y2ScHS, as listed in the Alexandria database.

Summary:
SG: P4/mmm, No. 123
Final energy in eV/atom: -5.38

```
5
Lattice="-0.970 4.206 -2.992 -4.583 -1.137 -0.113 -0.821 2.880 4.315" Properties=species:S:1:pos:R:3 pbc="T T T"
Sc -2.292 -0.569 -0.057
Y -0.411 1.440 2.157
Y -0.485 2.103 -1.496
S 0.000 0.000 0.000
H -3.187 2.975 0.605
```

First-principles (PBE) data for a relaxed structure of SmErNO, as listed in the Alexandria database.

Summary:
Raw formation energy in eV per atom: -1.871
SG: Imm2, No. 44
Final energy in eV/atom: -7.51

```
4
Lattice="3.172 0.000 0.000 0.000 3.189 0.000 -1.586 -1.594 5.911" Properties=species:S:1:pos:R:3 pbc="T T T"
Sm 1.586 0.000 3.774
O 0.000 1.594 5.000
Er 0.000 0.000 0.904
N 1.586 1.594 1.896
```

First-principles (PBE) data for a relaxed structure of Pm2SmHo2Mg5, as listed in the Alexandria database.

Summary:
SG: P4/mbm, No. 127
Final energy in eV/atom: -3.10
E_form in eV per atom: 0.04

```
20
Lattice="-3.618 -0.130 3.611 -5.618 -6.863 -5.875 4.996 -8.124 4.713" Properties=species:S:1:pos:R:3 pbc="T T T"
Mg -2.689 -5.445 0.730
Mg -4.618 -3.496 -1.132
Mg 1.784 -7.094 5.152
Mg -0.640 -6.806 2.734
Mg -1.550 -9.671 1.719
Mg -6.023 -8.022 -2.703
Mg -3.600 -8.310 -0.285
Mg 0.689 -4.127 4.162
Mg -2.547 -2.023 0.995
Mg -1.692 -13.094 1.454
Pm 2.297 -8.906 1.981
Pm -1.244 -11.148 -1.647
Pm 0.622 -3.839 0.485
Pm -2.919 -6.080 -3.143
Ho 0.915 -11.404 0.507
Ho -1.537 -3.583 -1.668
Ho -3.045 -9.128 -3.379
Ho 2.423 -5.858 2.217
Sm -0.311 -7.493 -0.581
Sm 0.000 0.000 0.000
```

First-principles (PBE) data for a relaxed structure of Nd2InRh, as listed in the Alexandria database.

Summary:
SG: R-3m, No. 166
Final energy in eV/atom: -5.16
E_form in eV per atom: -0.25

```
4
Lattice="-2.454 2.900 -1.262 -2.418 -0.643 -3.125 -8.680 -2.547 4.676" Properties=species:S:1:pos:R:3 pbc="T T T"
Nd -6.289 -1.429 2.596
Nd -7.263 1.139 -2.306
In 0.000 0.000 0.000
Rh -6.776 -0.145 0.145
```

First-principles (PBE) data for a relaxed structure of ZnCd2Au5, as listed in the Alexandria database.

Summary:
SG: I4/mmm, No. 139
Final energy in eV/atom: -2.57
E_form in eV per atom: -0.13

```
8
Lattice="-0.844 -3.949 1.450 3.950 -1.253 -1.115 1.125 4.663 7.004" Properties=species:S:1:pos:R:3 pbc="T T T"
Au 1.553 -2.601 0.168
Au 4.010 0.940 4.891
Au 2.618 -0.131 1.166
Au 0.222 -1.479 2.448
Au 1.613 -0.408 6.174
Zn 0.000 0.000 0.000
Cd 1.351 1.040 3.617
Cd 2.880 -1.579 3.722
```